(1)
A plane-wave DFT calculation with GGA-PBE was carried out for Rb2Se after structural relaxation.

abc: 5.7277 5.7277 5.7277
angles: 60.00 60.00 60.00
Positions (direct):
Rb 0.2500 0.2500 0.2500
Rb 0.7500 0.7500 0.7500
Se 0.0000 0.0000 0.0000

Summary:
- E_form (uncorrected): -1.060 eV per atom
- D(E_F): 0.0000 states/eV/atom


(2)
A plane-wave DFT calculation with GGA-PBE was carried out for RbSe6 after structural relaxation.

abc: 6.7704 6.7704 6.7704
angles: 109.47 109.47 109.47
Positions (direct):
Rb 0.0000 0.0000 0.0000
Se 0.5000 0.2500 0.7500
Se 0.5000 0.7500 0.2500
Se 0.7500 0.2500 0.5000
Se 0.7500 0.5000 0.2500
Se 0.2500 0.5000 0.7500
Se 0.2500 0.7500 0.5000

Summary:
- E_form (uncorrected): 0.132 eV per atom
- D(E_F): 1.2357 states/eV/atom


(3)
A plane-wave DFT calculation with GGA-PBE was carried out for RbSe after structural relaxation.

abc: 7.2234 6.4483 6.4508
angles: 90.00 90.00 90.00
Positions (direct):
Rb 0.0000 0.5000 0.8583
Rb 0.5000 0.5000 0.8457
Rb 0.5000 0.0000 0.3583
Rb 0.0000 0.0000 0.3457
Se 0.1697 0.5000 0.3585
Se 0.3303 0.0000 0.8585
Se 0.6697 0.0000 0.8585
Se 0.8303 0.5000 0.3585

Summary:
- E_form (uncorrected): -0.868 eV per atom


(4)
A plane-wave DFT calculation with GGA-PBE was carried out for RbSe3 after structural relaxation.

abc: 4.5387 4.5387 6.7188
angles: 109.74 109.74 90.00
Positions (direct):
Se 0.2799 0.2799 0.5599
Se 0.7201 0.7201 0.4401
Se 0.5000 0.5000 0.0000
Rb 0.0000 0.0000 0.0000

Summary:
- Energy relative to the lowest polymorph listed for this composition: 0.271 eV/atom
- E_form (uncorrected): -0.210 eV per atom
- D(E_F): 0.5128 states/eV/atom